# 1
Li3SiNiO5: single point on PBEsol structure, SCAN.

Cell lengths 4.959, 5.670, 6.232 Å; angles 105.15, 96.46, 108.24 degrees
Fractional coordinates of all 20 atoms:
Li  0.000  0.000  0.000
Li  0.000  0.500  0.000
Li  0.189  0.395  0.393
Li  0.396  0.798  0.799
Li  0.604  0.202  0.201
Li  0.811  0.605  0.607
Si  0.401  0.303  0.802
Si  0.599  0.697  0.198
Ni  0.200  0.899  0.401
Ni  0.800  0.101  0.599
O  0.122  0.418  0.706
O  0.126  0.977  0.701
O  0.330  0.834  0.127
O  0.338  0.366  0.088
O  0.483  0.244  0.523
O  0.517  0.756  0.477
O  0.662  0.634  0.912
O  0.670  0.166  0.873
O  0.874  0.023  0.299
O  0.878  0.582  0.294

Summary:
As for the formation energy from raw total energies: -2.258 eV/atom.

***

# 2
Li2Si12Ni5O30: single point on PBEsol structure, SCAN.

Cell lengths 9.950, 9.950, 14.354 Å; angles 90.00, 90.00, 120.00 degrees
Fractional coordinates of all 98 atoms:
Li  0.000  0.000  0.000
Li  0.000  0.000  0.500
Li  0.333  0.667  0.250
Li  0.667  0.333  0.750
Si  0.111  0.753  0.642
Si  0.111  0.753  0.858
Si  0.122  0.359  0.142
Si  0.122  0.359  0.358
Si  0.237  0.878  0.142
Si  0.237  0.878  0.358
Si  0.247  0.358  0.642
Si  0.247  0.358  0.858
Si  0.358  0.247  0.142
Si  0.358  0.247  0.358
Si  0.359  0.122  0.642
Si  0.359  0.122  0.858
Si  0.641  0.763  0.142
Si  0.641  0.763  0.358
Si  0.642  0.889  0.642
Si  0.642  0.889  0.858
Si  0.753  0.111  0.142
Si  0.753  0.111  0.358
Si  0.763  0.641  0.642
Si  0.763  0.641  0.858
Si  0.878  0.237  0.642
Si  0.878  0.237  0.858
Si  0.889  0.642  0.142
Si  0.889  0.642  0.358
Ni  0.000  0.483  0.000
Ni  0.000  0.483  0.500
Ni  0.333  0.667  0.502
Ni  0.333  0.667  0.998
Ni  0.483  0.000  0.000
Ni  0.483  0.000  0.500
Ni  0.517  0.517  0.000
Ni  0.517  0.517  0.500
Ni  0.667  0.333  0.002
Ni  0.667  0.333  0.498
O  0.055  0.797  0.111
O  0.055  0.797  0.389
O  0.063  0.300  0.635
O  0.063  0.300  0.865
O  0.099  0.698  0.750
O  0.152  0.651  0.573
O  0.152  0.651  0.927
O  0.165  0.512  0.083
O  0.165  0.512  0.417
O  0.175  0.422  0.250
O  0.203  0.258  0.111
O  0.203  0.258  0.389
O  0.238  0.937  0.635
O  0.238  0.937  0.865
O  0.247  0.825  0.250
O  0.258  0.203  0.611
O  0.258  0.203  0.889
O  0.300  0.063  0.135
O  0.300  0.063  0.365
O  0.302  0.400  0.750
O  0.347  0.835  0.083
O  0.347  0.835  0.417
O  0.349  0.500  0.573
O  0.349  0.500  0.927
O  0.400  0.302  0.250
O  0.422  0.175  0.750
O  0.488  0.653  0.083
O  0.488  0.653  0.417
O  0.500  0.349  0.073
O  0.500  0.349  0.427
O  0.500  0.848  0.573
O  0.500  0.848  0.927
O  0.512  0.165  0.583
O  0.512  0.165  0.917
O  0.578  0.753  0.250
O  0.600  0.901  0.750
O  0.651  0.152  0.073
O  0.651  0.152  0.427
O  0.653  0.488  0.583
O  0.653  0.488  0.917
O  0.698  0.099  0.250
O  0.700  0.762  0.635
O  0.700  0.762  0.865
O  0.742  0.945  0.111
O  0.742  0.945  0.389
O  0.753  0.578  0.750
O  0.762  0.700  0.135
O  0.762  0.700  0.365
O  0.797  0.055  0.611
O  0.797  0.055  0.889
O  0.825  0.247  0.750
O  0.835  0.347  0.583
O  0.835  0.347  0.917
O  0.848  0.500  0.073
O  0.848  0.500  0.427
O  0.901  0.600  0.250
O  0.937  0.238  0.135
O  0.937  0.238  0.365
O  0.945  0.742  0.611
O  0.945  0.742  0.889

Summary:
As for the formation energy from raw total energies: -2.587 eV/atom.

***

# 3
LiSiNiO4: single point on PBEsol structure, SCAN.

Cell lengths 5.645, 5.645, 5.645 Å; angles 123.11, 120.30, 87.09 degrees
Fractional coordinates of all 14 atoms:
Li  0.372  0.122  0.250
Li  0.628  0.878  0.750
Si  0.000  0.000  0.500
Si  0.000  0.500  0.000
Ni  0.000  0.500  0.500
Ni  0.500  0.500  0.000
O  0.213  0.750  0.463
O  0.214  0.250  0.963
O  0.219  0.236  0.517
O  0.219  0.702  0.983
O  0.781  0.298  0.017
O  0.781  0.764  0.483
O  0.786  0.750  0.037
O  0.787  0.250  0.537

Summary:
As for the formation energy from raw total energies: -2.227 eV/atom.

***

# 4
Li3Si6NiO15: single point on PBEsol structure, SCAN.

Cell lengths 11.144, 11.144, 9.695 Å; angles 90.00, 90.00, 99.94 degrees
Fractional coordinates of all 100 atoms:
Li  0.003  0.497  0.750
Li  0.076  0.924  0.781
Li  0.243  0.243  0.000
Li  0.257  0.257  0.500
Li  0.424  0.576  0.281
Li  0.497  0.003  0.250
Li  0.503  0.997  0.750
Li  0.576  0.424  0.719
Li  0.743  0.743  0.500
Li  0.757  0.757  0.000
Li  0.924  0.076  0.219
Li  0.997  0.503  0.250
Si  0.025  0.766  0.510
Si  0.044  0.175  0.803
Si  0.078  0.704  0.960
Si  0.175  0.044  0.197
Si  0.204  0.578  0.460
Si  0.234  0.975  0.510
Si  0.266  0.525  0.010
Si  0.296  0.922  0.960
Si  0.325  0.456  0.697
Si  0.422  0.796  0.460
Si  0.456  0.325  0.303
Si  0.475  0.734  0.010
Si  0.525  0.266  0.990
Si  0.544  0.675  0.697
Si  0.578  0.204  0.540
Si  0.675  0.544  0.303
Si  0.704  0.078  0.040
Si  0.734  0.475  0.990
Si  0.766  0.025  0.490
Si  0.796  0.422  0.540
Si  0.825  0.956  0.803
Si  0.922  0.296  0.040
Si  0.956  0.825  0.197
Si  0.975  0.234  0.490
Ni  0.160  0.340  0.250
Ni  0.340  0.160  0.750
Ni  0.660  0.840  0.250
Ni  0.840  0.660  0.750
O  0.006  0.279  0.906
O  0.007  0.650  0.824
O  0.011  0.217  0.650
O  0.041  0.959  0.169
O  0.102  0.266  0.410
O  0.104  0.896  0.572
O  0.113  0.666  0.517
O  0.150  0.507  0.324
O  0.154  0.179  0.164
O  0.160  0.840  0.922
O  0.166  0.613  0.017
O  0.179  0.154  0.836
O  0.217  0.011  0.350
O  0.221  0.494  0.594
O  0.234  0.398  0.090
O  0.266  0.102  0.590
O  0.279  0.006  0.094
O  0.283  0.489  0.850
O  0.321  0.346  0.336
O  0.334  0.887  0.517
O  0.340  0.660  0.422
O  0.346  0.321  0.664
O  0.350  0.993  0.824
O  0.387  0.834  0.017
O  0.396  0.604  0.072
O  0.398  0.234  0.910
O  0.459  0.541  0.669
O  0.489  0.283  0.150
O  0.493  0.850  0.324
O  0.494  0.221  0.406
O  0.506  0.779  0.594
O  0.507  0.150  0.676
O  0.511  0.717  0.850
O  0.541  0.459  0.331
O  0.602  0.766  0.090
O  0.604  0.396  0.928
O  0.613  0.166  0.983
O  0.650  0.007  0.176
O  0.654  0.679  0.336
O  0.660  0.340  0.578
O  0.666  0.113  0.483
O  0.679  0.654  0.664
O  0.717  0.511  0.150
O  0.721  0.994  0.906
O  0.734  0.898  0.410
O  0.766  0.602  0.910
O  0.779  0.506  0.406
O  0.783  0.989  0.650
O  0.821  0.846  0.164
O  0.834  0.387  0.983
O  0.840  0.160  0.078
O  0.846  0.821  0.836
O  0.850  0.493  0.676
O  0.887  0.334  0.483
O  0.896  0.104  0.428
O  0.898  0.734  0.590
O  0.959  0.041  0.831
O  0.989  0.783  0.350
O  0.993  0.350  0.176
O  0.994  0.721  0.094

Summary:
As for the formation energy from raw total energies: -2.696 eV/atom.

***

# 5
Li2Si4Ni4O13: single point on PBEsol structure, SCAN.

Cell lengths 6.697, 7.757, 9.789 Å; angles 68.58, 80.32, 77.52 degrees
Fractional coordinates of all 46 atoms:
Li  0.215  0.011  0.128
Li  0.270  0.438  0.562
Li  0.730  0.562  0.438
Li  0.785  0.989  0.872
Si  0.070  0.344  0.294
Si  0.268  0.658  0.280
Si  0.273  0.070  0.830
Si  0.382  0.649  0.709
Si  0.618  0.351  0.291
Si  0.727  0.930  0.170
Si  0.732  0.342  0.720
Si  0.930  0.656  0.706
Ni  0.087  0.038  0.620
Ni  0.087  0.684  0.990
Ni  0.418  0.965  0.377
Ni  0.426  0.312  0.014
Ni  0.574  0.688  0.986
Ni  0.582  0.035  0.623
Ni  0.913  0.316  0.010
Ni  0.913  0.962  0.380
O  0.093  0.944  0.845
O  0.117  0.499  0.356
O  0.132  0.393  0.116
O  0.136  0.126  0.397
O  0.175  0.608  0.674
O  0.204  0.819  0.354
O  0.211  0.205  0.931
O  0.286  0.186  0.650
O  0.287  0.741  0.102
O  0.387  0.593  0.886
O  0.404  0.863  0.603
O  0.475  0.517  0.351
O  0.489  0.049  0.152
O  0.511  0.951  0.848
O  0.525  0.483  0.649
O  0.596  0.137  0.397
O  0.613  0.407  0.114
O  0.713  0.259  0.898
O  0.714  0.814  0.350
O  0.789  0.795  0.069
O  0.796  0.181  0.646
O  0.825  0.392  0.326
O  0.864  0.874  0.603
O  0.868  0.607  0.884
O  0.883  0.501  0.644
O  0.907  0.056  0.155

Summary:
As for the formation energy from raw total energies: -2.337 eV/atom.

***

# 6
Li5Ni5Sn2O12: single point on PBEsol structure, SCAN.

Cell lengths 5.140, 5.140, 9.800 Å; angles 95.57, 95.57, 120.45 degrees
Fractional coordinates of all 24 atoms:
Li  0.000  0.000  0.000
Li  0.272  0.228  0.758
Li  0.411  0.094  0.238
Li  0.772  0.728  0.242
Li  0.906  0.589  0.762
Ni  0.093  0.401  0.245
Ni  0.177  0.823  0.500
Ni  0.514  0.486  0.500
Ni  0.599  0.907  0.755
Ni  0.672  0.328  0.000
Sn  0.340  0.660  0.000
Sn  0.847  0.153  0.500
O  0.043  0.675  0.124
O  0.127  0.114  0.374
O  0.250  0.540  0.615
O  0.325  0.957  0.876
O  0.384  0.374  0.121
O  0.460  0.750  0.385
O  0.548  0.202  0.612
O  0.626  0.616  0.879
O  0.709  0.050  0.125
O  0.798  0.452  0.388
O  0.886  0.873  0.626
O  0.950  0.291  0.875

Summary:
As for the formation energy from raw total energies: -1.707 eV/atom.

***

Number 1: magnetic moment 1.0 μB/f.u.. Number 2: magnetic moment 10.0 μB/f.u.. Number 3: magnetic moment 1.0 μB/f.u.. Number 4: magnetic moment 1.0 μB/f.u.. Number 5: magnetic moment 8.0 μB/f.u.. Number 6: magnetic moment 1.6 μB/f.u..